# 1
Here is a relaxed Zr4ZnPb crystal from Alexandria. Energies are from PBE.

```
12
Lattice="-2.603 3.091 -4.103 -3.998 -5.310 -1.465 -4.570 2.187 4.546" Properties=species:S:1:pos:R:3 pbc="T T T"
Zr -3.572 0.528 2.664
Zr -4.996 -3.652 0.418
Zr -2.192 -1.562 0.214
Zr -6.376 -1.562 2.867
Zr -7.564 -1.500 -0.374
Zr -3.607 1.468 -0.648
Zr -4.602 -1.488 -2.244
Zr -6.569 1.456 1.222
Zn -4.935 -0.789 0.515
Zn -6.236 0.757 -1.537
Pb -0.651 0.773 -1.026
Pb -1.952 2.318 -3.077
```

## Properties
- Electronic total energy: -6.66 eV per atom
- M_tot: 0.00 μB/f.u.

=====

# 2
Here is a relaxed Rb4AgSn3I12 crystal from Alexandria. Energies are from PBE.

```
20
Lattice="-2.360 -8.779 -5.462 10.467 1.676 -0.352 -3.054 -1.184 10.087" Properties=species:S:1:pos:R:3 pbc="T T T"
Rb 2.526 -4.144 2.137
Rb -1.527 -0.592 5.044
Rb -1.180 -4.390 -2.731
Rb 5.233 0.838 -0.176
Ag 0.000 0.000 0.000
Sn -2.707 -4.982 2.313
Sn 4.053 -3.552 -2.907
Sn 3.706 0.246 4.868
I 2.353 -2.245 6.024
I -4.076 -7.501 3.482
I -1.338 -2.463 1.143
I 2.700 -6.043 -1.750
I 6.103 -5.348 -4.376
I 2.004 -1.756 -1.437
I -0.680 -6.758 0.859
I 5.733 -1.530 3.414
I -0.854 -4.859 4.747
I 5.580 0.370 7.329
I 5.906 -3.429 -0.473
I 1.832 0.122 2.407
```

## Properties
- Electronic total energy: -2.69 eV per atom
- E_form (uncorrected): -16.5 eV per formula unit
- M_tot: 0.00 μB/f.u.

=====

# 3
Here is a relaxed NdB4Ir12 crystal from Alexandria. Energies are from PBE.

```
17
Lattice="-1.576 -1.926 6.334 -4.275 -2.949 -4.398 6.380 -1.890 -1.424" Properties=species:S:1:pos:R:3 pbc="T T T"
Nd 0.000 0.000 0.000
B -2.137 -1.475 -2.199
B -0.788 -0.963 3.167
B 0.265 -3.383 0.256
B 3.190 -0.945 -0.712
Ir -1.709 -2.855 3.593
Ir -1.551 -2.420 -0.363
Ir 2.235 -3.403 3.637
Ir 4.110 -2.655 0.203
Ir -1.705 -3.363 -3.125
Ir 2.081 -4.345 0.874
Ir 0.570 -2.080 1.935
Ir -0.039 -4.685 -1.423
Ir -3.579 -4.110 0.309
Ir -0.979 -4.532 1.574
Ir 1.509 -2.233 -1.063
Ir 2.239 -3.910 -3.081
```

## Properties
- Electronic total energy: -7.92 eV per atom
- M_tot: 0.01 μB/f.u.

=====

# 4
Here is a relaxed LiYAl2Zn4 crystal from Alexandria. Energies are from PBE.

```
8
Lattice="4.452 0.000 0.000 2.226 3.856 0.000 2.226 1.285 7.891" Properties=species:S:1:pos:R:3 pbc="T T T"
Li 4.452 2.570 3.945
Y 0.000 0.000 0.000
Al 6.678 3.856 5.862
Al 2.226 1.285 2.029
Zn 4.452 2.570 6.506
Zn 6.678 3.856 3.112
Zn 2.226 1.285 4.779
Zn 4.452 2.570 1.385
```

## Properties
- Electronic total energy: -2.86 eV per atom
- M_tot: 0.00 μB/f.u.

=====

# 5
Here is a relaxed Pm2MnH12Ru3 crystal from Alexandria. Energies are from PBE.

```
18
Lattice="5.902 -0.052 -0.037 2.869 5.157 -0.037 2.869 1.670 4.880" Properties=species:S:1:pos:R:3 pbc="T T T"
Pm 7.344 4.275 3.032
Pm 4.296 2.501 1.774
Mn 0.000 0.000 0.000
H 5.728 3.334 4.430
H 8.870 5.163 1.584
H 7.164 6.132 4.349
H 7.422 2.371 1.682
H 8.870 3.202 4.349
H 5.728 5.283 1.682
H 5.913 3.442 0.376
H 2.771 1.613 3.222
H 4.476 0.644 0.457
H 4.218 4.404 3.124
H 2.771 3.574 0.457
H 5.913 1.493 3.124
Ru 2.951 -0.026 -0.018
Ru 1.435 2.579 -0.018
Ru 1.435 0.835 2.440
```

## Properties
- Electronic total energy: -5.01 eV per atom
- M_tot: 0.00 μB/f.u.

=====

# 6
Here is a relaxed Mg2InHAu crystal from Alexandria. Energies are from PBE.

```
5
Lattice="-2.964 -1.205 2.912 1.198 -4.128 -0.489 2.988 0.483 3.242" Properties=species:S:1:pos:R:3 pbc="T T T"
H 0.000 0.000 0.000
Mg 0.599 -2.064 -0.244
Mg -1.482 -0.602 1.456
Au 0.611 -2.425 2.832
In 1.494 0.242 1.621
```

## Properties
- Electronic total energy: -2.62 eV per atom
- M_tot: 0.00 μB/f.u.